1.
The following is a PBE-GGA calculation of a relaxed LiZnRh2 crystal, from Alexandria via LeMat-Bulk.

The structure in POSCAR format:
```
LiZnRh2
1.0
-4.4238 -0.2085 1.2314
-0.8316 -4.2530 1.5332
3.2897 3.0060 1.1275
Zn Rh Li
1 2 1
direct
0.5000 0.5000 0.0000 Zn
0.0000 0.0000 0.0000 Rh
0.2500 0.7500 0.5000 Rh
0.7500 0.2500 0.5000 Li
```

- Energy of formation: -0.20 eV per atom
- Size of the total moment: 0.001 μB/f.u.
- ρ: 8.47 g/cm³

---

2.
The following is a PBE-GGA calculation of a relaxed Y2Sb2Se crystal, from Alexandria via LeMat-Bulk.

The structure in POSCAR format:
```
Y2Sb2Se
1.0
-4.9262 2.5693 -1.3211
-2.8409 -3.8334 3.1382
-3.4444 2.1818 4.7433
Y Sb Se
2 2 1
direct
0.7500 0.2500 0.5000 Y
0.2500 0.7500 0.5000 Y
0.3529 0.3529 0.2941 Sb
0.6471 0.6471 0.7059 Sb
0.0000 0.0000 0.0000 Se
```

- ΔE to the lowest computed polymorph: 284 meV/atom
- Uncorrected formation energy: -3.84 eV/f.u.
- Size of the total moment: 0.000 μB/f.u.
- ρ: 5.33 g/cm³

---

3.
The following is a PBE-GGA calculation of a relaxed CeOsBr crystal, from Alexandria via LeMat-Bulk.

The structure in POSCAR format:
```
CeOsBr
1.0
-3.6558 0.0742 -2.1243
0.8507 -3.1852 2.6290
-6.7494 -0.4415 11.5911
Ce Os Br
2 2 2
direct
0.3268 0.6530 0.1773 Ce
0.6732 0.3470 0.8227 Ce
0.1868 0.3731 0.9805 Os
0.8132 0.6269 0.0195 Os
0.8294 0.6589 0.3434 Br
0.1706 0.3411 0.6566 Br
```

- ΔE to the lowest computed polymorph: 0 meV/atom
- Uncorrected formation energy: -2.67 eV/f.u.
- Size of the total moment: 0.621 μB/f.u.
- ρ: 7.78 g/cm³

---

4.
The following is a PBE-GGA calculation of a relaxed CaMg2AlAs crystal, from Alexandria via LeMat-Bulk.

The structure in POSCAR format:
```
CaMg2AlAs
1.0
-3.9509 1.8199 2.5205
-2.9766 0.0093 -4.6724
-1.5392 -4.6865 0.9712
Mg As Ca Al
2 1 1 1
direct
0.0000 0.0000 0.5000 Mg
0.5000 0.0000 0.0000 Mg
0.0000 0.0000 0.0000 As
0.0000 0.5000 0.0000 Ca
0.5000 0.5000 0.5000 Al
```

- Energy of formation: -0.07 eV per atom
- Size of the total moment: 0.000 μB/f.u.
- ρ: 2.26 g/cm³

---

5.
The following is a PBE-GGA calculation of a relaxed YGa2Au6 crystal, from Alexandria via LeMat-Bulk.

The structure in POSCAR format:
```
YGa2Au6
1.0
-5.0263 -1.5505 1.5445
-1.4555 -2.7911 -5.0816
1.1190 -5.8681 0.2078
Y Ga Au
1 2 6
direct
0.0000 0.0000 0.0000 Y
0.1569 0.5907 0.5907 Ga
0.8431 0.4093 0.4093 Ga
0.2433 0.0514 0.4974 Au
0.7567 0.9486 0.5026 Au
0.7567 0.5026 0.9486 Au
0.5000 0.7811 0.2189 Au
0.5000 0.2189 0.7811 Au
0.2433 0.4974 0.0514 Au
```

- ΔE to the lowest computed polymorph: 0 meV/atom
- Energy of formation: -0.34 eV per atom
- Size of the total moment: 0.000 μB/f.u.
- ρ: 13.07 g/cm³

---

6.
The following is a PBE-GGA calculation of a relaxed TlCdPb2O4 crystal, from Alexandria via LeMat-Bulk.

The structure in POSCAR format:
```
TlCdPb2O4
1.0
-0.7426 -6.7270 2.5685
6.3761 0.4558 3.3969
-5.2169 5.0346 1.1770
Tl Cd Pb O
2 2 4 8
direct
0.5000 0.5000 0.5000 Tl
0.0000 0.0000 0.0000 Tl
0.0000 0.5000 0.0000 Cd
0.0000 0.5000 0.5000 Cd
0.5000 0.0000 0.0000 Pb
0.5000 0.0000 0.5000 Pb
0.0000 0.0000 0.5000 Pb
0.5000 0.5000 0.0000 Pb
0.2489 0.7227 0.9858 O
0.7773 0.2511 0.5142 O
0.2227 0.7489 0.4858 O
0.7512 0.2773 0.0142 O
0.7633 0.7367 0.0303 O
0.7633 0.7367 0.4697 O
0.2367 0.2633 0.5303 O
0.2367 0.2633 0.9697 O
```

- Uncorrected formation energy: -6.47 eV/f.u.
- Size of the total moment: 0.000 μB/f.u.
- ρ: 9.76 g/cm³

---

7.
The following is a PBE-GGA calculation of a relaxed Li4TmGe2 crystal, from Alexandria via LeMat-Bulk.

The structure in POSCAR format:
```
Li4TmGe2
1.0
-3.7606 0.9002 1.9205
3.0983 -1.3530 6.7009
1.9990 7.2147 0.5324
Li Tm Ge
8 2 4
direct
0.0000 0.1063 0.3508 Li
0.0000 0.8937 0.6492 Li
0.5000 0.1492 0.6063 Li
0.5000 0.8508 0.3937 Li
0.5000 0.3937 0.8508 Li
0.5000 0.6063 0.1492 Li
0.0000 0.3508 0.1063 Li
0.0000 0.6492 0.8937 Li
0.5000 0.0000 0.0000 Tm
0.0000 0.5000 0.5000 Tm
0.0000 0.2092 0.7908 Ge
0.0000 0.7908 0.2092 Ge
0.5000 0.7092 0.7092 Ge
0.5000 0.2908 0.2908 Ge
```

- Energy of formation: -0.45 eV per atom
- Size of the total moment: 0.000 μB/f.u.
- ρ: 4.67 g/cm³

---

8.
The following is a PBE-GGA calculation of a relaxed Sc3As2 crystal, from Alexandria via LeMat-Bulk.

The structure in POSCAR format:
```
Sc3As2
1.0
2.0467 -3.5450 0.0000
2.0467 3.5450 0.0000
0.0000 0.0000 7.4050
Sc As
3 2
direct
0.0000 0.0000 0.0000 Sc
0.6667 0.3333 0.6384 Sc
0.3333 0.6667 0.3616 Sc
0.6667 0.3333 0.2051 As
0.3333 0.6667 0.7949 As
```

- ΔE to the lowest computed polymorph: 147 meV/atom
- Energy of formation: -1.02 eV per atom
- Size of the total moment: 0.000 μB/f.u.
- ρ: 4.40 g/cm³

---

9.
The following is a PBE-GGA calculation of a relaxed CaNpPa2P4 crystal, from Alexandria via LeMat-Bulk.

The structure in POSCAR format:
```
CaNpPa2P4
1.0
4.0132 0.0000 0.0000
0.0000 6.8992 -0.1128
0.0000 2.4505 6.5161
Ca Np Pa P
1 1 2 4
direct
0.5000 0.5000 0.0000 Ca
0.0000 0.5000 0.5000 Np
0.0000 0.0000 0.0000 Pa
0.5000 0.0000 0.5000 Pa
0.0000 0.7602 0.7429 P
0.0000 0.2398 0.2571 P
0.5000 0.7543 0.2520 P
0.5000 0.2457 0.7480 P
```

- Energy of formation: -1.16 eV per atom
- Size of the total moment: 4.910 μB/f.u.
- ρ: 7.89 g/cm³

---

10.
The following is a PBE-GGA calculation of a relaxed SrCeIr crystal, from Alexandria via LeMat-Bulk.

The structure in POSCAR format:
```
SrCeIr
1.0
4.0430 0.0007 -0.0002
2.0220 3.5015 0.0037
0.0015 2.3287 13.9444
Sr Ce Ir
2 2 2
direct
0.1235 0.4549 0.9721 Sr
0.3680 0.9641 0.7069 Sr
0.2816 0.1363 0.4493 Ce
0.5371 0.6255 0.2161 Ce
0.9048 0.8898 0.3194 Ir
0.6516 0.3964 0.5591 Ir
```

- ΔE to the lowest computed polymorph: 134 meV/atom
- Energy of formation: -0.33 eV per atom
- Size of the total moment: 0.443 μB/f.u.
- ρ: 7.07 g/cm³

---

11.
The following is a PBE-GGA calculation of a relaxed TmHf2Cu6 crystal, from Alexandria via LeMat-Bulk.

The structure in POSCAR format:
```
TmHf2Cu6
1.0
3.0363 0.0000 0.0000
0.0000 6.3851 -3.6865
0.0000 0.0000 7.3729
Tm Hf Cu
1 2 6
direct
0.0000 0.0000 0.0000 Tm
0.0000 0.3333 0.6667 Hf
0.0000 0.6667 0.3333 Hf
0.5000 0.3363 0.3363 Cu
0.5000 0.6637 0.6637 Cu
0.5000 0.0000 0.6637 Cu
0.5000 0.6637 0.0000 Cu
0.5000 0.3363 0.0000 Cu
0.5000 0.0000 0.3363 Cu
```

- Energy of formation: -0.16 eV per atom
- Size of the total moment: 0.000 μB/f.u.
- ρ: 10.54 g/cm³

---

12.
The following is a PBE-GGA calculation of a relaxed AcGa3Au4 crystal, from Alexandria via LeMat-Bulk.

The structure in POSCAR format:
```
AcGa3Au4
1.0
-2.2829 -3.3516 -2.1188
2.4354 -3.1145 2.3027
-5.5733 0.0377 5.9454
Ac Au Ga
1 4 3
direct
0.0000 0.0000 0.5000 Ac
0.0000 0.5000 0.1816 Au
0.0000 0.5000 0.8184 Au
0.5000 0.0000 0.8184 Au
0.5000 0.0000 0.1816 Au
0.0000 0.0000 0.0000 Ga
0.5000 0.5000 0.3413 Ga
0.5000 0.5000 0.6587 Ga
```

- Energy of formation: -0.46 eV per atom
- Size of the total moment: 0.000 μB/f.u.
- ρ: 11.91 g/cm³

---

13.
The following is a PBE-GGA calculation of a relaxed BaLa3Al crystal, from Alexandria via LeMat-Bulk.

The structure in POSCAR format:
```
BaLa3Al
1.0
6.0093 0.0000 0.0000
0.0000 6.0093 0.0000
0.0000 0.0000 6.0093
Al Ba La
1 1 3
direct
0.0000 0.0000 0.0000 Al
0.5000 0.5000 0.5000 Ba
0.0000 0.5000 0.0000 La
0.0000 0.0000 0.5000 La
0.5000 0.0000 0.0000 La
```

- Energy of formation: 0.16 eV per atom
- Size of the total moment: 0.000 μB/f.u.
- ρ: 4.45 g/cm³

---

14.
The following is a PBE-GGA calculation of a relaxed La2Tb3Tm6Sc crystal, from Alexandria via LeMat-Bulk.

The structure in POSCAR format:
```
La2Tb3Tm6Sc
1.0
6.1120 -0.0008 0.0064
-3.0552 5.2936 0.0064
-1.0287 -1.7812 11.4953
La Tb Tm Sc
2 3 6 1
direct
0.3339 0.6661 0.0000 La
0.6661 0.3339 0.0000 La
0.1666 0.8334 0.5000 Tb
0.8334 0.1666 0.5000 Tb
0.5000 0.5000 0.5000 Tb
0.9161 0.5862 0.7482 Tm
0.7538 0.7538 0.2522 Tm
0.0839 0.4138 0.2518 Tm
0.5862 0.9161 0.7482 Tm
0.2462 0.2462 0.7478 Tm
0.4138 0.0839 0.2518 Tm
0.0000 0.0000 0.0000 Sc
```

- Energy of formation: 0.03 eV per atom
- Size of the total moment: 0.001 μB/f.u.
- ρ: 8.09 g/cm³

---

15.
The following is a PBE-GGA calculation of a relaxed LaSiBr4 crystal, from Alexandria via LeMat-Bulk.

The structure in POSCAR format:
```
LaSiBr4
1.0
0.0000 4.4215 4.4215
4.4215 0.0000 4.4215
4.4215 4.4215 0.0000
La Si Br
1 1 4
direct
0.7500 0.7500 0.7500 La
0.0000 0.0000 0.0000 Si
0.8743 0.3752 0.3752 Br
0.3752 0.3752 0.8743 Br
0.3752 0.8743 0.3752 Br
0.3752 0.3752 0.3752 Br
```

- Uncorrected formation energy: 0.48 eV/f.u.
- Size of the total moment: 1.019 μB/f.u.
- ρ: 4.67 g/cm³

---

16.
The following is a PBE-GGA calculation of a relaxed CeP12Os4 crystal, from Alexandria via LeMat-Bulk.

The structure in POSCAR format:
```
CeP12Os4
1.0
-4.8615 1.8820 4.7150
-2.9878 -3.9265 -5.0063
5.0448 -3.7120 3.1903
Ce P Os
1 12 4
direct
0.0000 0.0000 0.0000 Ce
0.8568 0.6450 0.5018 P
0.1432 0.3550 0.4982 P
0.1432 0.6450 0.7882 P
0.8568 0.3550 0.2118 P
0.6450 0.5018 0.8568 P
0.3550 0.4982 0.1432 P
0.6450 0.7882 0.1432 P
0.3550 0.2118 0.8568 P
0.5018 0.8568 0.6450 P
0.4982 0.1432 0.3550 P
0.7882 0.1432 0.6450 P
0.2118 0.8568 0.3550 P
0.5000 0.5000 0.5000 Os
0.5000 0.0000 0.0000 Os
0.0000 0.5000 0.0000 Os
0.0000 0.0000 0.5000 Os
```

- Energy of formation: -0.62 eV per atom
- Size of the total moment: 0.188 μB/f.u.
- ρ: 7.91 g/cm³

---

17.
The following is a PBE-GGA calculation of a relaxed ZrScB crystal, from Alexandria via LeMat-Bulk.

The structure in POSCAR format:
```
ZrScB
1.0
-2.7125 3.3496 5.6359
-2.9169 -0.4573 -1.1321
0.0108 -8.9947 3.6052
Sc B Zr
4 4 4
direct
0.3439 0.0000 0.6209 Sc
0.3439 0.5000 0.1209 Sc
0.6393 0.0000 0.3856 Sc
0.6393 0.5000 0.8856 Sc
0.2911 0.0000 0.3340 B
0.2911 0.5000 0.8340 B
0.3803 0.0000 0.8850 B
0.3803 0.5000 0.3850 B
0.9190 0.0000 0.1487 Zr
0.9190 0.5000 0.6487 Zr
0.0411 0.0000 0.8922 Zr
0.0411 0.5000 0.3922 Zr
```

- ΔE to the lowest computed polymorph: 181 meV/atom
- Energy of formation: -0.20 eV per atom
- Size of the total moment: 0.000 μB/f.u.
- ρ: 4.54 g/cm³

---

18.
The following is a PBE-GGA calculation of a relaxed KLiIr crystal, from Alexandria via LeMat-Bulk.

The structure in POSCAR format:
```
KLiIr
1.0
8.5124 -0.0012 0.0008
7.8419 2.7621 0.0012
0.6705 -1.0454 2.5579
Ir K Li
1 1 1
direct
0.0127 0.0127 0.9873 Ir
0.3520 0.3520 0.6480 K
0.6353 0.6353 0.3647 Li
```

- ΔE to the lowest computed polymorph: 202 meV/atom
- Energy of formation: 0.53 eV per atom
- Size of the total moment: 0.006 μB/f.u.
- ρ: 6.58 g/cm³

---

19.
The following is a PBE-GGA calculation of a relaxed Ti2Si6Tc crystal, from Alexandria via LeMat-Bulk.

The structure in POSCAR format:
```
Ti2Si6Tc
1.0
4.6556 0.0000 0.0012
-2.3278 4.0791 -0.0012
0.0017 -0.0009 6.4836
Ti Si Tc
2 6 1
direct
0.9999 0.5000 0.6644 Ti
0.5001 0.5000 0.3356 Ti
0.8336 0.6672 0.0000 Si
0.3169 0.1589 0.6680 Si
0.8419 0.1589 0.3320 Si
0.1663 0.3326 0.0000 Si
0.6828 0.8411 0.6681 Si
0.1583 0.8411 0.3320 Si
0.5001 0.0001 0.0000 Tc
```

- Uncorrected formation energy: -4.89 eV/f.u.
- Size of the total moment: 0.000 μB/f.u.
- ρ: 4.89 g/cm³

---

20.
The following is a PBE-GGA calculation of a relaxed LiGa5Ag6 crystal, from Alexandria via LeMat-Bulk.

The structure in POSCAR format:
```
LiGa5Ag6
1.0
4.2073 1.0711 0.0000
2.2055 8.2725 0.0000
1.1028 4.1363 6.4124
Li Ga Ag
1 5 6
direct
0.0000 0.0000 0.0000 Li
0.5000 0.1582 0.6837 Ga
0.0000 0.3235 0.3529 Ga
0.5000 0.5000 0.0000 Ga
0.0000 0.6765 0.6471 Ga
0.5000 0.8418 0.3163 Ga
0.7452 0.0896 0.3292 Ag
0.2548 0.5812 0.3292 Ag
0.2411 0.2574 0.0000 Ag
0.7589 0.7426 0.0000 Ag
0.7452 0.4188 0.6708 Ag
0.2548 0.9104 0.6708 Ag
```

- Energy of formation: -0.04 eV per atom
- Size of the total moment: 0.000 μB/f.u.
- ρ: 8.00 g/cm³

---

21.
The following is a PBE-GGA calculation of a relaxed NaCdCuPd crystal, from Alexandria via LeMat-Bulk.

The structure in POSCAR format:
```
NaCdCuPd
1.0
4.6298 0.0000 0.0000
2.3149 4.0095 0.0000
2.3149 1.3365 3.7802
Na Cu Pd Cd
1 1 1 1
direct
0.0000 0.0000 0.0000 Na
0.7500 0.7500 0.7500 Cu
0.5000 0.5000 0.5000 Pd
0.2500 0.2500 0.2500 Cd
```

- Energy of formation: -0.02 eV per atom
- Size of the total moment: 0.000 μB/f.u.
- ρ: 7.23 g/cm³